No. 1
GaTc3Pd, relaxed, DFT PBEsol; polymorph energy (0 for the lowest one) = 0 meV/atom; electronic total energy = -6.95 eV per atom; magnetization = 0.001 μB per atom; ΔE_f = 1666 meV per atom
1.0
4.414 0.000 0.000
0.000 4.414 0.000
0.000 0.000 4.414
Ga Tc Pd
1 3 1
Direct
0.000 0.000 0.000 Ga
0.000 0.000 0.500 Tc
0.000 0.500 0.000 Tc
0.500 0.000 0.000 Tc
0.500 0.500 0.500 Pd


No. 2
Ga2TcPd, relaxed, DFT PBEsol; electronic total energy = -6.33 eV per atom; magnetization = 0.000 μB per atom; ΔE_f = -354 meV per atom
1.0
0.000 3.027 3.027
3.027 0.000 3.027
3.027 3.027 0.000
Ga Tc Pd
2 1 1
Direct
0.250 0.250 0.250 Ga
0.750 0.750 0.750 Ga
0.000 0.000 0.000 Tc
0.500 0.500 0.500 Pd


No. 3
GaTcPdW2, relaxed, DFT PBEsol; electronic total energy = -7.58 eV per atom; magnetization = 0.214 μB per atom; ΔE_f = 2058 meV per atom
1.0
4.702 0.000 0.000
0.000 4.702 0.000
0.000 0.000 4.343
Ga Tc Pd W
1 1 1 2
Direct
0.000 0.000 0.000 Ga
0.500 0.500 0.000 Tc
0.000 0.000 0.500 Pd
0.000 0.500 0.500 W
0.500 0.000 0.500 W


No. 4
GaTe3Pd, relaxed, DFT PBEsol; raw formation energy = 0.247 eV per atom; electronic total energy = -3.73 eV per atom; magnetization = 0.000 μB per atom
1.0
5.250 0.000 0.000
0.000 5.250 0.000
0.000 0.000 5.250
Ga Te Pd
1 3 1
Direct
0.000 0.000 0.000 Ga
0.000 0.500 0.500 Te
0.500 0.000 0.500 Te
0.500 0.500 0.000 Te
0.500 0.500 0.500 Pd


No. 5
Ga3Te9Pd32, relaxed, DFT PBEsol; raw formation energy = -0.371 eV per atom; electronic total energy = -5.65 eV per atom; magnetization = 0.000 μB per atom
1.0
3.787 2.187 14.177
-3.787 2.187 14.177
0.000 -4.373 14.177
Ga Te Pd
3 9 32
Direct
0.000 0.000 0.000 Ga
0.158 0.158 0.158 Ga
0.657 0.657 0.657 Ga
0.086 0.405 0.728 Te
0.226 0.907 0.592 Te
0.315 0.315 0.315 Te
0.405 0.728 0.086 Te
0.500 0.500 0.500 Te
0.592 0.226 0.907 Te
0.728 0.086 0.405 Te
0.815 0.815 0.815 Te
0.907 0.592 0.226 Te
0.001 0.279 0.538 Pd
0.007 0.369 0.646 Pd
0.034 0.774 0.509 Pd
0.038 0.789 0.296 Pd
0.097 0.097 0.097 Pd
0.140 0.878 0.507 Pd
0.174 0.433 0.811 Pd
0.220 0.220 0.220 Pd
0.279 0.538 0.001 Pd
0.279 0.538 0.808 Pd
0.296 0.038 0.789 Pd
0.303 0.945 0.676 Pd
0.369 0.646 0.007 Pd
0.375 0.375 0.375 Pd
0.433 0.811 0.174 Pd
0.439 0.439 0.439 Pd
0.507 0.140 0.878 Pd
0.509 0.034 0.774 Pd
0.538 0.001 0.279 Pd
0.538 0.808 0.279 Pd
0.596 0.596 0.596 Pd
0.646 0.007 0.369 Pd
0.676 0.303 0.945 Pd
0.718 0.718 0.718 Pd
0.774 0.509 0.034 Pd
0.789 0.296 0.038 Pd
0.808 0.279 0.538 Pd
0.811 0.174 0.433 Pd
0.876 0.876 0.876 Pd
0.878 0.507 0.140 Pd
0.941 0.941 0.941 Pd
0.945 0.676 0.303 Pd


No. 6
TiGaPd, relaxed, DFT PBEsol; electronic total energy = -6.57 eV per atom; magnetization = 0.000 μB per atom; ΔE_f = -691 meV per atom
1.0
4.386 0.000 0.000
-2.193 3.798 0.000
0.000 0.000 5.302
Ti Ga Pd
2 2 2
Direct
0.000 0.000 0.000 Ti
0.000 0.000 0.500 Ti
0.333 0.667 0.250 Ga
0.667 0.333 0.750 Ga
0.333 0.667 0.750 Pd
0.667 0.333 0.250 Pd


No. 7
Ti3GaPd, relaxed, DFT PBEsol; electronic total energy = -6.35 eV per atom; magnetization = 0.000 μB per atom; ΔE_f = 505 meV per atom
1.0
4.674 0.000 0.000
0.000 4.674 0.000
0.000 0.000 4.674
Ti Ga Pd
3 1 1
Direct
0.000 0.000 0.500 Ti
0.000 0.500 0.000 Ti
0.500 0.000 0.000 Ti
0.500 0.500 0.500 Ga
0.000 0.000 0.000 Pd


No. 8
Tl3GaPd, relaxed, DFT PBEsol; electronic total energy = -2.83 eV per atom; magnetization = 0.000 μB per atom; ΔE_f = 612 meV per atom
1.0
5.181 0.000 0.000
0.000 5.181 0.000
0.000 0.000 5.181
Tl Ga Pd
3 1 1
Direct
0.000 0.000 0.500 Tl
0.000 0.500 0.000 Tl
0.500 0.000 0.000 Tl
0.000 0.000 0.000 Ga
0.500 0.500 0.500 Pd